Entry 1:
Density functional theory data (GGA-PBE) for Tl2AsOF5 after structural relaxation.

Energy relative to the elements, uncorrected   -1.869 eV per atom
Space-group type   I4mm

Cell and atoms, written as POSCAR:
```
Tl2AsOF5
1.0
-2.976 2.976 4.736
2.976 -2.976 4.736
2.976 2.976 -4.736
Tl As O F
2 1 1 5
direct
0.000 0.500 0.500
0.500 0.000 0.500
0.262 0.262 0.000
0.442 0.442 0.000
0.023 0.023 0.567
0.023 0.456 0.000
0.065 0.065 0.000
0.456 0.023 0.000
0.456 0.456 0.433
```

Entry 2:
Density functional theory data (GGA-PBE) for TlAsOF2 after structural relaxation.

Energy relative to the elements, uncorrected   -0.494 eV per atom
Space-group type   P4/mmm

Cell and atoms, written as POSCAR:
```
TlAsOF2
1.0
4.472 0.000 0.000
0.000 4.472 0.000
0.000 0.000 4.370
Tl As O F
1 1 1 2
direct
0.000 0.000 0.000
0.500 0.500 0.500
0.000 0.000 0.500
0.000 0.500 0.000
0.500 0.000 0.000
```

- Look up the energy relative to the elements, uncorrected of the second one.
  -0.494 eV per atom

What did the second record say?
Density functional theory data (GGA-PBE) for TlAsOF2 after structural relaxation.

Energy relative to the elements, uncorrected   -0.494 eV per atom
Space-group type   P4/mmm

Cell and atoms, written as POSCAR:
```
TlAsOF2
1.0
4.472 0.000 0.000
0.000 4.472 0.000
0.000 0.000 4.370
Tl As O F
1 1 1 2
direct
0.000 0.000 0.000
0.500 0.500 0.500
0.000 0.000 0.500
0.000 0.500 0.000
0.500 0.000 0.000
```

- Look up the energy relative to the elements, uncorrected of the first one.
  -1.869 eV per atom

Copy entry 2 word for word.
Density functional theory data (GGA-PBE) for TlAsOF2 after structural relaxation.

Energy relative to the elements, uncorrected   -0.494 eV per atom
Space-group type   P4/mmm

Cell and atoms, written as POSCAR:
```
TlAsOF2
1.0
4.472 0.000 0.000
0.000 4.472 0.000
0.000 0.000 4.370
Tl As O F
1 1 1 2
direct
0.000 0.000 0.000
0.500 0.500 0.500
0.000 0.000 0.500
0.000 0.500 0.000
0.500 0.000 0.000
```